Record 1
This record from Alexandria via LeMat-Bulk describes InCu6Sn after structural relaxation. The functional is PBE-GGA.

## Properties
- crystal system = orthorhombic
- space group = Pmm2 (25)

Unit cell a=4.3356 b=5.4802 c=4.8794 alpha=90.00 beta=90.00 gamma=90.00
Last column: nearest neighbours and their distance in Å.
Sites, in units of the cell vectors:
In  0.0000  0.0000  0.0000  12 Cu 2.74-2.80
Cu  0.0000  0.2475  0.5011  7 Cu 2.60-2.77, 2 Sn 2.74, 2 In 2.79-2.80
Cu  0.0000  0.5000  0.9514  6 Cu 2.60-2.65, 2 In 2.75, 2 Sn 2.77
Cu  0.0000  0.7525  0.5011  7 Cu 2.60-2.77, 2 Sn 2.74, 2 In 2.79-2.80
Cu  0.5000  0.0000  0.3647  6 Cu 2.57-2.64, 2 Sn 2.76, 2 In 2.80
Cu  0.5000  0.2544  0.8081  7 Cu 2.57-2.79, 2 In 2.74, 2 Sn 2.77-2.80
Cu  0.5000  0.7456  0.8081  7 Cu 2.57-2.79, 2 In 2.74, 2 Sn 2.77-2.80
Sn  0.5000  0.5000  0.3045  12 Cu 2.74-2.80

=====

Record 2
This record from Alexandria via LeMat-Bulk describes In2CuSn after structural relaxation. The functional is PBE-GGA.

## Properties
- crystal system = trigonal
- polymorph energy (0 for the lowest one) (eV per formula unit) = 0.15
- space group = R-3m (166)

Unit cell a=10.0923 b=10.0923 c=10.0923 alpha=18.98 beta=18.98 gamma=18.98
Last column: nearest neighbours and their distance in Å.
Sites, in units of the cell vectors:
In  0.1010  0.1010  0.1010  3 Cu 2.74, 1 Sn 3.00
In  0.8990  0.8990  0.8990  3 Cu 2.74, 1 Sn 3.00
Cu  0.5000  0.5000  0.5000  6 In 2.74
Sn  0.0000  0.0000  0.0000  2 In 3.00, 6 Sn 3.33

=====

Record 3
This record from Alexandria via LeMat-Bulk describes InCu3Sn5 after structural relaxation. The functional is PBE-GGA.

## Properties
- crystal system = monoclinic
- space group = C2/m (12)

Unit cell a=6.9055 b=6.9055 c=10.3539 alpha=111.28 beta=111.28 gamma=78.66
Last column: nearest neighbours and their distance in Å.
Sites, in units of the cell vectors:
In  0.2461  0.2461  0.2795  3 Cu 2.60-2.85
In  0.7539  0.7539  0.7205  3 Cu 2.60-2.85
Cu  0.0000  0.0000  0.0000  2 Cu 2.62, 4 Sn 2.64-2.77, 2 In 2.85
Cu  0.0138  0.0138  0.7537  4 Sn 2.59-2.67, 1 Cu 2.62, 1 In 2.63
Cu  0.4981  0.4981  0.7725  6 Sn 2.63-2.92, 1 Cu 2.83
Cu  0.5000  0.5000  0.5000  2 In 2.60, 4 Sn 2.73, 2 Cu 2.83
Cu  0.5019  0.5019  0.2275  6 Sn 2.63-2.92, 1 Cu 2.83
Cu  0.9862  0.9862  0.2463  4 Sn 2.59-2.67, 1 Cu 2.62, 1 In 2.63
Sn  0.1650  0.6594  0.5963  3 Cu 2.66-2.73
Sn  0.2136  0.2136  0.6683  2 Cu 2.67-2.71
Sn  0.2544  0.2544  0.9902  3 Cu 2.59-2.77
Sn  0.3012  0.6988  0.0000  3 Cu 2.64-2.92
Sn  0.3406  0.8350  0.4037  3 Cu 2.66-2.73
Sn  0.6594  0.1650  0.5963  3 Cu 2.66-2.73
Sn  0.6988  0.3012  0.0000  3 Cu 2.64-2.92
Sn  0.7456  0.7456  0.0098  3 Cu 2.59-2.77
Sn  0.7864  0.7864  0.3317  2 Cu 2.67-2.71
Sn  0.8350  0.3406  0.4037  3 Cu 2.66-2.73

=====

Record 4
This record from Alexandria via LeMat-Bulk describes InCu2Sn2 after structural relaxation. The functional is PBE-GGA.

## Properties
- crystal system = tetragonal
- space group = I4/mmm (139)

Unit cell a=6.7268 b=6.7268 c=6.7268 alpha=142.72 beta=142.72 gamma=53.74
Last column: nearest neighbours and their distance in Å.
Sites, in units of the cell vectors:
In  0.0000  0.0000  0.0000  8 Sn 3.38, 8 Cu 3.69
Cu  0.2500  0.7500  0.5000  4 Sn 2.64
Cu  0.7500  0.2500  0.5000  4 Sn 2.64
Sn  0.3776  0.3776  0.0000  4 Cu 2.64, 1 Sn 2.94
Sn  0.6224  0.6224  0.0000  4 Cu 2.64, 1 Sn 2.94

=====

Number 1: energy of formation 10 meV per atom. Number 2: energy of formation 108 meV per atom. Number 3: energy of formation 105 meV per atom. Number 4: energy of formation 161 meV per atom.